(1)
Compound: ScGaFe3
Source: the Alexandria database
Functional: PBE-GGA
Structure: optimized geometry

Lattice parameters (Å, degrees): 4.4297 4.4297 4.4297 90.00 90.00 90.00
Fractional positions:
Sc: 0.0000 0.0000 0.0000
Ga: 0.5000 0.5000 0.5000
Fe: 0.0000 0.5000 0.5000
Fe: 0.5000 0.0000 0.5000
Fe: 0.5000 0.5000 0.0000

Values from the calculation:
Space-group type   Pm-3m, No. 221
Calculated density   5392 kg/m3
Total energy   -6.325 eV/atom
Calculated formation energy   624 meV per atom

---

(2)
Compound: ScGa7Fe5
Source: the Alexandria database
Functional: PBE-GGA
Structure: optimized geometry

Lattice parameters (Å, degrees): 6.5634 6.5634 6.5634 134.90 98.24 98.67
Fractional positions:
Sc: 0.0000 0.0000 0.0000
Ga: 0.1988 0.5027 0.6961
Ga: 0.3211 0.9872 0.3339
Ga: 0.3236 0.3236 0.0000
Ga: 0.6533 0.9872 0.6661
Ga: 0.6610 0.6610 0.0000
Ga: 0.7658 0.2658 0.5000
Ga: 0.8065 0.5027 0.3039
Fe: 0.2369 0.7369 0.5000
Fe: 0.4960 0.4906 0.4975
Fe: 0.4960 0.9985 0.0055
Fe: 0.9931 0.4906 0.9945
Fe: 0.9931 0.9985 0.5025

Values from the calculation:
Space-group type   Imm2, No. 44
Calculated density   7292 kg/m3
Total energy   -5.656 eV/atom
Calculated formation energy   -284 meV per atom